Entry 1:
Compound: AsRuW2
Source: Alexandria via LeMat-Bulk
Functional: PBE-GGA
Structure: optimized geometry

Computed properties:
The value obtained for the formation energy is 0.176 eV/atom. For the total energy, the calculation gives -9.78 eV/atom.

Cell lengths 5.205, 5.205, 5.205 Å; angles 145.63, 129.32, 62.68 degrees
Positions (direct):
As (0.000, 0.000, 0.000)
Ru (0.500, 0.500, 0.000)
W (0.234, 0.734, 0.500)
W (0.766, 0.266, 0.500)

***

Entry 2:
Compound: LiCdI2
Source: Alexandria via LeMat-Bulk
Functional: PBE-GGA
Structure: optimized geometry

Computed properties:
As for the excess energy over the best structure of this formula in the dataset: 0 meV/atom. For the total energy, the calculation gives -2.08 eV/atom. The value obtained for the uncorrected formation energy is -0.597 eV per atom.

Cell lengths 8.498, 8.498, 8.498 Å; angles 132.53, 132.53, 69.39 degrees
Positions (direct):
Li (0.000, 0.000, 0.000)
Li (0.750, 0.250, 0.500)
Cd (0.250, 0.750, 0.500)
Cd (0.500, 0.500, 0.000)
I (0.082, 0.625, 0.957)
I (0.375, 0.332, 0.457)
I (0.668, 0.125, 0.043)
I (0.875, 0.918, 0.543)

***

Entry 3:
Compound: TmPuSb2
Source: Alexandria via LeMat-Bulk
Functional: PBE-GGA
Structure: optimized geometry

Computed properties:
As for the excess energy over the best structure of this formula in the dataset: 0 meV/atom. For the total energy, the calculation gives -7.59 eV/atom. The value obtained for the uncorrected formation energy is -0.831 eV per atom.

Cell lengths 7.555, 7.555, 7.555 Å; angles 33.80, 33.80, 33.80 degrees
Positions (direct):
Tm (0.000, 0.000, 0.000)
Pu (0.500, 0.500, 0.500)
Sb (0.251, 0.251, 0.251)
Sb (0.749, 0.749, 0.749)

***

Entry 4:
Compound: HfBe2SiNi2
Source: Alexandria via LeMat-Bulk
Functional: PBE-GGA
Structure: optimized geometry

Computed properties:
For the total energy, the calculation gives -5.54 eV/atom. The value obtained for the uncorrected formation energy is 0.190 eV per atom.

Cell lengths 3.953, 3.953, 5.064 Å; angles 90.00, 90.00, 90.00 degrees
Positions (direct):
Hf (0.000, 0.000, 0.000)
Be (0.000, 0.500, 0.500)
Be (0.500, 0.000, 0.500)
Si (0.000, 0.000, 0.500)
Ni (0.500, 0.500, 0.242)
Ni (0.500, 0.500, 0.758)

***

Entry 5:
Compound: ThMgBeCu
Source: Alexandria via LeMat-Bulk
Functional: PBE-GGA
Structure: optimized geometry

Computed properties:
The value obtained for the formation energy is 0.017 eV/atom. For the total energy, the calculation gives -4.19 eV/atom.

Cell lengths 4.774, 4.774, 4.774 Å; angles 60.00, 60.00, 60.00 degrees
Positions (direct):
Th (0.000, 0.000, 0.000)
Mg (0.500, 0.500, 0.500)
Be (0.750, 0.750, 0.750)
Cu (0.250, 0.250, 0.250)

***

Short version: calculated volume = 60.9, 327.0, 118.9, 79.1, 76.9 Å³ per cell, in the order given.
Short version: DOS at the Fermi energy = 2.36, 9.45, 13.59, 3.38, 1.43 states/eV/cell, in the order given.
Short version: total moment = 0.00, 0.00, 5.05, 0.00, 0.00 μB per cell, in the order given.